Entry 1:
Below is Y5In4Au after structural relaxation, with properties calculated at the PBE level.

Lattice parameters (Å, degrees): 3.586 3.586 20.169 90.00 90.00 90.00
Fractional positions:
Y (0.500, 0.500, 0.294)
Y (0.500, 0.500, 0.500)
Y (0.500, 0.500, 0.911)
Y (0.500, 0.500, 0.089)
Y (0.500, 0.500, 0.706)
In (0.000, 0.000, 0.192)
In (0.000, 0.000, 0.397)
In (0.000, 0.000, 0.808)
In (0.000, 0.000, 0.603)
Au (0.000, 0.000, 0.000)

Calculated values
- crystal system = tetragonal
- calculated total energy (eV/atom) = -5.22
- V (Å³ per atom) = 25.93
- total moment (μB/atom) = 0.004

Entry 2:
Below is Y2ZnInAu4 after structural relaxation, with properties calculated at the PBE level.

Lattice parameters (Å, degrees): 4.900 4.900 6.931 90.00 90.00 90.00
Fractional positions:
Y (0.500, 0.500, 0.500)
Y (0.000, 0.000, 0.000)
Au (0.000, 0.500, 0.241)
Au (0.000, 0.500, 0.759)
Au (0.500, 0.000, 0.241)
Au (0.500, 0.000, 0.759)
Zn (0.500, 0.500, 0.000)
In (0.000, 0.000, 0.500)

Calculated values
- crystal system = tetragonal
- calculated total energy (eV/atom) = -4.42
- V (Å³ per atom) = 20.80
- total moment (μB/atom) = 0.002

Entry 3:
Below is ZrInAu2 after structural relaxation, with properties calculated at the PBE level.

Lattice parameters (Å, degrees): 4.749 4.749 8.670 90.00 90.00 120.00
Fractional positions:
Au (0.333, 0.667, 0.594)
Au (0.667, 0.333, 0.406)
Au (0.667, 0.333, 0.094)
Au (0.333, 0.667, 0.906)
In (0.333, 0.667, 0.250)
In (0.667, 0.333, 0.750)
Zr (0.000, 0.000, 0.000)
Zr (0.000, 0.000, 0.500)

Calculated values
- crystal system = hexagonal
- calculated total energy (eV/atom) = -4.70
- V (Å³ per atom) = 21.17
- total moment (μB/atom) = 0.000